! Ho5Hf3N8, optimized geometry, DFT GGA-PBE; values from VASP
&SYSTEM
  ibrav = 0, nat = 16, ntyp = 3
/
ATOMIC_SPECIES
Ho 164.93 Ho.upf
Hf 178.49 Hf.upf
N 14.01 N.upf
CELL_PARAMETERS angstrom
3.336 1.926 5.488
-3.336 1.926 5.488
0.000 -3.852 5.488
ATOMIC_POSITIONS crystal
Ho 0.000 0.000 0.000
Ho 0.000 0.500 0.500
Ho 0.500 0.000 0.500
Ho 0.500 0.500 0.000
Ho 0.500 0.500 0.500
Hf 0.000 0.000 0.500
Hf 0.000 0.500 0.000
Hf 0.500 0.000 0.000
N 0.233 0.750 0.750
N 0.243 0.243 0.243
N 0.250 0.250 0.767
N 0.250 0.767 0.250
N 0.750 0.233 0.750
N 0.750 0.750 0.233
N 0.757 0.757 0.757
N 0.767 0.250 0.250
! Uncorrected formation energy ... -1.80 eV per atom
! Total magnetic moment ... 0.00 μB/atom
! Calculated density ... 11.56 g/cm3
! Density of states at the Fermi level ... 2.52 states/eV/cell
! DFT total energy ... -148.21 eV for the cell shown